# 1
A relaxed TiCrC2Cl crystal, computed with PBE-GGA.

Output
D(E_F): 0.986 states/eV/atom
E: -24.5 eV/cell
magnetic moment: 0.00 μB/cell
ρ: 4.0 Mg/m³

Cell: 3.9522 4.2606 3.9522 Å, 90.00 90.00 90.00°
Fractional coordinates of all 5 atoms:
Cl (0.0000, 0.0000, 0.0000)
C (0.5000, 0.0000, 0.0000)
Cr (0.5000, 0.5000, 0.5000)
C (0.0000, 0.0000, 0.5000)
Ti (0.0000, 0.5000, 0.0000)



# 2
A relaxed VCr2CCl crystal, computed with PBE-GGA.

Output
D(E_F): 1.134 states/eV/atom
E: -29.6 eV/cell
magnetic moment: 4.41 μB/cell
ρ: 4.7 Mg/m³

Cell: 4.1418 4.1432 4.1418 Å, 90.00 90.00 90.00°
Each line ends with the local moment (μB).
Fractional coordinates of all 5 atoms:
Cr (0.0000, 0.0000, 0.5000)  1.68
V (0.5000, 0.5000, 0.5000)  0.95
Cl (0.0000, 0.0000, 0.0000)  -0.03
C (0.0000, 0.5000, 0.0000)  -0.08
Cr (0.5000, 0.0000, 0.0000)  1.61



# 3
A relaxed ZnCrCCl2 crystal, computed with PBE-GGA.

Output
D(E_F): 1.236 states/eV/atom
E: -18.2 eV/cell
magnetic moment: 0.58 μB/cell
ρ: 3.2 Mg/m³

Cell: 5.3039 3.6499 5.3039 Å, 90.00 90.00 90.00°
Each line ends with the local moment (μB).
Fractional coordinates of all 5 atoms:
Cl (0.0000, 0.0000, 0.5000)  -0.07
C (0.0000, 0.0000, 0.0000)  0.03
Cr (0.0000, 0.5000, 0.0000)  -0.12
Zn (0.5000, 0.5000, 0.5000)  -0.22
Cl (0.5000, 0.0000, 0.0000)  -0.04



# 4
A relaxed CsCCl crystal, computed with PBE-GGA.

Output
D(E_F): 0.000 states/eV/atom
E: -19.7 eV/cell
magnetic moment: 0.07 μB/cell
ρ: 2.8 Mg/m³
excess energy over the best structure of this formula in the dataset: 1.138 eV/atom

Cell: 4.4956 6.3899 7.8857 Å, 77.26 79.39 80.21°
Fractional coordinates of all 6 atoms:
C (0.6376, 0.8736, 0.9011)
C (0.5081, 0.6234, 0.6180)
Cs (0.1032, 0.2226, 0.6443)
Cl (0.7036, 0.2598, 0.3059)
Cs (0.0535, 0.7422, 0.2321)
Cl (0.5779, 0.7403, 0.7636)



# 5
A relaxed CsCCl crystal, computed with PBE-GGA.

Output
D(E_F): 0.000 states/eV/atom
E: -40.1 eV/cell
magnetic moment: 0.15 μB/cell
ρ: 2.6 Mg/m³
excess energy over the best structure of this formula in the dataset: 1.081 eV/atom

Cell: 11.0041 5.0214 8.6959 Å, 90.00 104.47 90.00°
Fractional coordinates of all 12 atoms:
C (0.8504, 0.0000, 0.9427)
Cl (0.5000, 0.0000, 0.5000)
C (0.1496, 0.5000, 0.5573)
C (0.8504, 0.5000, 0.4427)
Cs (0.3087, 0.5000, 0.2735)
Cl (0.0000, 0.0000, 0.0000)
Cs (0.6913, 0.5000, 0.7265)
Cs (0.6913, 0.0000, 0.2265)
Cl (0.0000, 0.5000, 0.5000)
Cs (0.3087, 0.0000, 0.7735)
Cl (0.5000, 0.5000, 0.0000)
C (0.1496, 0.0000, 0.0573)



# 6
A relaxed CsCCl crystal, computed with PBE-GGA.

Output
E: -19.9 eV/cell
magnetic moment: 0.00 μB/cell
ρ: 2.7 Mg/m³
excess energy over the best structure of this formula in the dataset: 1.112 eV/atom

Cell: 4.4153 4.7190 10.8793 Å, 85.42 87.61 89.88°
Fractional coordinates of all 6 atoms:
C (0.0428, 0.6692, 0.9502)
Cl (0.9987, 0.6370, 0.8079)
Cs (0.5159, 0.7138, 0.1718)
Cl (0.0019, 0.1877, 0.3097)
C (0.9603, 0.6100, 0.6629)
Cs (0.4772, 0.1366, 0.5594)



# 7
A relaxed Cs2C2Cl crystal, computed with PBE-GGA.

Output
D(E_F): 0.000 states/eV/atom
E: -43.5 eV/cell
magnetic moment: 2.00 μB/cell
ρ: 2.7 Mg/m³

Cell: 9.2503 9.2503 4.7110 Å, 90.00 90.00 90.00°
Each line ends with the local moment (μB).
Fractional coordinates of all 10 atoms:
C (0.5484, 0.0484, 0.5000)  0.30
Cs (0.8064, 0.3064, 0.0000)  0.01
Cl (0.5000, 0.5000, 0.0000)  0.01
Cs (0.1936, 0.6936, 0.0000)  0.01
C (0.9516, 0.5484, 0.5000)  0.30
C (0.0484, 0.4516, 0.5000)  0.30
Cs (0.6936, 0.8064, 0.0000)  0.01
Cl (0.0000, 0.0000, 0.0000)  0.01
C (0.4516, 0.9516, 0.5000)  0.30
Cs (0.3064, 0.1936, 0.0000)  0.01



# 8
A relaxed CsCCl crystal, computed with PBE-GGA.

Output
E: -29.7 eV/cell
magnetic moment: 6.00 μB/cell
ρ: 2.7 Mg/m³
excess energy over the best structure of this formula in the dataset: 1.126 eV/atom

Cell: 5.8124 5.8124 11.2188 Å, 90.00 90.00 120.00°
Each line ends with the local moment (μB).
Fractional coordinates of all 9 atoms:
C (0.6667, 0.3333, 0.7936)  0.80
Cl (0.3333, 0.6667, 0.9667)  0.11
Cs (0.0000, 0.0000, 0.7543)  0.03
C (0.3333, 0.6667, 0.1269)  0.80
Cl (0.6667, 0.3333, 0.6333)  0.11
Cs (0.3333, 0.6667, 0.4209)  0.03
Cl (0.0000, 0.0000, 0.3000)  0.11
C (0.0000, 0.0000, 0.4603)  0.80
Cs (0.6667, 0.3333, 0.0876)  0.03



# 9
A relaxed CsC2Cl crystal, computed with PBE-GGA.

Output
D(E_F): 0.436 states/eV/atom
E: -25.5 eV/cell
magnetic moment: 0.00 μB/cell
ρ: 3.7 Mg/m³
excess energy over the best structure of this formula in the dataset: 0.000 eV/atom

Cell: 4.4330 4.4330 9.3855 Å, 76.34 76.34 90.00°
Fractional coordinates of all 8 atoms:
C (0.3750, 0.6250, 0.7500)
C (0.8750, 0.6250, 0.7500)
Cs (0.0000, 0.0000, 0.0000)
Cl (0.5000, 0.5000, 0.0000)
C (0.3750, 0.6250, 0.2500)
C (0.3750, 0.1250, 0.2500)
Cl (0.2500, 0.7500, 0.5000)
Cs (0.7500, 0.2500, 0.5000)



# 10
A relaxed CsCCl3 crystal, computed with PBE-GGA.

Output
D(E_F): 0.000 states/eV/atom
E: -30.4 eV/cell
magnetic moment: 0.00 μB/cell
ρ: 3.4 Mg/m³
excess energy over the best structure of this formula in the dataset: 0.000 eV/atom

Cell: 6.7267 6.7267 7.2485 Å, 62.35 62.35 90.00°
Fractional coordinates of all 10 atoms:
Cl (0.2656, 0.2656, 0.0000)
Cs (0.7500, 0.2500, 0.5000)
Cs (0.2500, 0.7500, 0.5000)
Cl (0.7945, 0.7945, 0.4110)
Cl (0.7344, 0.2656, 0.0000)
Cl (0.2656, 0.7344, 0.0000)
C (0.0000, 0.0000, 0.0000)
Cl (0.7344, 0.7344, 0.0000)
C (0.5000, 0.5000, 0.0000)
Cl (0.2055, 0.2055, 0.5890)



# 11
A relaxed CsCCl3 crystal, computed with PBE-GGA.

Output
D(E_F): 0.000 states/eV/atom
E: -15.2 eV/cell
magnetic moment: 0.00 μB/cell
ρ: 3.7 Mg/m³
excess energy over the best structure of this formula in the dataset: 0.006 eV/atom

Cell: 4.8532 4.8532 4.8532 Å, 90.00 90.00 90.00°
Fractional coordinates of all 5 atoms:
Cl (0.0000, 0.5000, 0.0000)
C (0.0000, 0.0000, 0.0000)
Cl (0.0000, 0.0000, 0.5000)
Cl (0.5000, 0.0000, 0.0000)
Cs (0.5000, 0.5000, 0.5000)



# 12
A relaxed CsC2Cl crystal, computed with PBE-GGA.

Output
D(E_F): 1.536 states/eV/atom
E: -10.0 eV/cell
magnetic moment: 4.00 μB/cell
ρ: 3.2 Mg/m³
excess energy over the best structure of this formula in the dataset: 0.688 eV/atom

Cell: 5.2255 5.2255 5.2255 Å, 60.00 60.00 60.00°
Each line ends with the local moment (μB).
Fractional coordinates of all 4 atoms:
C (0.7500, 0.7500, 0.7500)  0.97
Cs (0.5000, 0.5000, 0.5000)  0.08
Cl (0.0000, 0.0000, 0.0000)  -0.04
C (0.2500, 0.2500, 0.2500)  0.97



# 13
A relaxed CsCCl crystal, computed with PBE-GGA.

Output
D(E_F): 0.000 states/eV/atom
E: -26.5 eV/cell
magnetic moment: 0.00 μB/cell
ρ: 2.6 Mg/m³
excess energy over the best structure of this formula in the dataset: 0.000 eV/atom

Cell: 4.8726 4.9124 9.7979 Å, 85.61 76.06 89.97°
Fractional coordinates of all 6 atoms:
Cl (0.0946, 0.1550, 0.0780)
C (0.0082, 0.0396, 0.2478)
Cl (0.2721, 0.4129, 0.7302)
C (0.9430, 0.9639, 0.3767)
Cs (0.7701, 0.9120, 0.7344)
Cs (0.4470, 0.4892, 0.3710)



# 14
A relaxed CsCCl crystal, computed with PBE-GGA.

Output
D(E_F): 0.000 states/eV/atom
E: -39.9 eV/cell
magnetic moment: 0.01 μB/cell
ρ: 2.6 Mg/m³
excess energy over the best structure of this formula in the dataset: 1.101 eV/atom

Cell: 11.1617 8.4112 4.8600 Å, 90.00 90.45 90.00°
Fractional coordinates of all 12 atoms:
Cs (0.6950, 0.1412, 0.5034)
Cs (0.3050, 0.6412, 0.9966)
C (0.1429, 0.8074, 0.4929)
Cl (0.5000, 0.3077, 0.0000)
Cs (0.6950, 0.6412, 0.0034)
C (0.8571, 0.3074, 0.0071)
C (0.8571, 0.8074, 0.5071)
Cl (0.0000, 0.3074, 0.0000)
Cl (0.0000, 0.8074, 0.5000)
Cl (0.5000, 0.8077, 0.5000)
Cs (0.3050, 0.1412, 0.4966)
C (0.1429, 0.3074, 0.9929)



# 15
A relaxed CsCCl3 crystal, computed with PBE-GGA.

Output
D(E_F): 5.769 states/eV/atom
E: -8.4 eV/cell
magnetic moment: 0.00 μB/cell
ρ: 1.7 Mg/m³
excess energy over the best structure of this formula in the dataset: 1.366 eV/atom

Cell: 6.2947 6.2947 6.2947 Å, 90.00 90.00 90.00°
Fractional coordinates of all 5 atoms:
C (0.5000, 0.5000, 0.5000)
Cs (0.0000, 0.0000, 0.0000)
Cl (0.5000, 0.0000, 0.0000)
Cl (0.0000, 0.0000, 0.5000)
Cl (0.0000, 0.5000, 0.0000)



# 16
A relaxed CsCCl crystal, computed with PBE-GGA.

Output
D(E_F): 0.000 states/eV/atom
E: -26.5 eV/cell
magnetic moment: 0.00 μB/cell
ρ: 2.6 Mg/m³
excess energy over the best structure of this formula in the dataset: 0.000 eV/atom

Cell: 4.8833 4.8799 10.1671 Å, 102.64 101.20 89.96°
Fractional coordinates of all 6 atoms:
C (0.5889, 0.0931, 0.6206)
Cs (0.4466, 0.9331, 0.2716)
C (0.6570, 0.1585, 0.7492)
Cl (0.7516, 0.2476, 0.9202)
Cl (0.9479, 0.4349, 0.2749)
Cs (0.0971, 0.5979, 0.6254)



# 17
A relaxed CsCCl crystal, computed with PBE-GGA.

Output
D(E_F): 0.000 states/eV/atom
E: -26.3 eV/cell
magnetic moment: 0.00 μB/cell
ρ: 2.7 Mg/m³
excess energy over the best structure of this formula in the dataset: 0.045 eV/atom

Cell: 5.1837 5.1911 9.1841 Å, 87.89 87.93 63.03°
Fractional coordinates of all 6 atoms:
Cl (0.3363, 0.3432, 0.9009)
Cs (0.9657, 0.9754, 0.5709)
C (0.4998, 0.5082, 0.8051)
C (0.6223, 0.6312, 0.7317)
Cl (0.3063, 0.3115, 0.3151)
Cs (0.6585, 0.6651, 0.1380)



# 18
A relaxed CsC2Cl8 crystal, computed with PBE-GGA.

Output
D(E_F): 0.237 states/eV/atom
E: -36.8 eV/cell
magnetic moment: 0.00 μB/cell
ρ: 1.9 Mg/m³

Cell: 6.5078 6.5074 11.0241 Å, 107.13 90.00 120.00°
Fractional coordinates of all 11 atoms:
C (0.2492, 0.4984, 0.7472)
Cs (0.0000, 0.0000, 0.0000)
Cl (0.4256, 0.3833, 0.8077)
Cl (0.0423, 0.6167, 0.1923)
Cl (0.9577, 0.3833, 0.8077)
Cl (0.5744, 0.6167, 0.1923)
Cl (0.1918, 0.3837, 0.5772)
Cl (0.5750, 0.1500, 0.1936)
Cl (0.8082, 0.6163, 0.4228)
Cl (0.4250, 0.8500, 0.8064)
C (0.7508, 0.5016, 0.2528)



# 19
A relaxed Cs2CuCCl6 crystal, computed with PBE-GGA.

Output
D(E_F): 0.488 states/eV/atom
E: -31.3 eV/cell
magnetic moment: 0.00 μB/cell
ρ: 3.4 Mg/m³

Cell: 7.0087 7.0087 7.4305 Å, 61.86 61.86 90.00°
Fractional coordinates of all 10 atoms:
Cl (0.2823, 0.2823, 0.0000)
Cu (0.0000, 0.0000, 0.0000)
Cl (0.1970, 0.1970, 0.6061)
Cs (0.2500, 0.7500, 0.5000)
Cl (0.2823, 0.7177, 0.0000)
Cl (0.7177, 0.7177, 0.0000)
Cl (0.8030, 0.8030, 0.3939)
C (0.5000, 0.5000, 0.0000)
Cl (0.7177, 0.2823, 0.0000)
Cs (0.7500, 0.2500, 0.5000)



# 20
A relaxed Cs2GeCCl6 crystal, computed with PBE-GGA.

Output
D(E_F): 0.000 states/eV/atom
E: -33.0 eV/cell
magnetic moment: 0.00 μB/cell
ρ: 3.6 Mg/m³

Cell: 7.1708 7.1708 7.1680 Å, 59.99 59.99 90.00°
Fractional coordinates of all 10 atoms:
Ge (0.0000, 0.0000, 0.0000)
Cs (0.7500, 0.2500, 0.5000)
Cl (0.7390, 0.7390, 0.0000)
Cs (0.2500, 0.7500, 0.5000)
Cl (0.2610, 0.2610, 0.0000)
Cl (0.7390, 0.2610, 0.0000)
Cl (0.7394, 0.7394, 0.5211)
C (0.5000, 0.5000, 0.0000)
Cl (0.2606, 0.2606, 0.4789)
Cl (0.2610, 0.7390, 0.0000)



# 21
A relaxed Cs2HCCl6 crystal, computed with PBE-GGA.

Output
D(E_F): 0.435 states/eV/atom
E: -27.4 eV/cell
magnetic moment: 0.00 μB/cell
ρ: 3.2 Mg/m³

Cell: 6.4663 6.4663 7.5532 Å, 64.66 64.66 90.00°
Fractional coordinates of all 10 atoms:
Cl (0.2462, 0.2462, 0.0000)
Cl (0.8180, 0.8180, 0.3640)
Cl (0.2462, 0.7538, 0.0000)
Cl (0.7538, 0.7538, 0.0000)
Cl (0.7538, 0.2462, 0.0000)
Cs (0.7500, 0.2500, 0.5000)
Cs (0.2500, 0.7500, 0.5000)
C (0.0000, 0.0000, 0.0000)
H (0.5000, 0.5000, 0.0000)
Cl (0.1820, 0.1820, 0.6360)



| no. | volume (Å³/f.u.) |
| --- | --- |
| 1 | 66.5 |
| 2 | 71.1 |
| 3 | 102.7 |
| 4 | 107.6 |
| 5 | 116.3 |
| 6 | 112.9 |
| 7 | 201.6 |
| 8 | 109.4 |
| 9 | 86.9 |
| 10 | 123.7 |
| 11 | 114.3 |
| 12 | 100.9 |
| 13 | 113.5 |
| 14 | 114.1 |
| 15 | 249.4 |
| 16 | 115.8 |
| 17 | 110.0 |
| 18 | 380.2 |
| 19 | 272.0 |
| 20 | 260.5 |
| 21 | 251.4 |